Below is a relaxed structure of MgRuPt, with properties calculated at the PBE level.

Total magnetic moment in μB/f.u.: 2.13
E_form in eV/atom: 0.13
Excess energy over the best structure of this formula in the dataset in eV per atom: 0.3119

Geometry as extended XYZ:
```
12
Lattice="6.0864 0.0000 0.0000 0.0000 6.0864 0.0000 0.0000 0.0000 6.0864" Properties=species:S:1:pos:R:3 pbc="T T T"
Mg 0.0000 0.0000 0.0000
Mg 0.0000 3.0432 3.0432
Mg 3.0432 0.0000 3.0432
Mg 3.0432 3.0432 0.0000
Ru 0.0000 0.0000 3.0432
Ru 0.0000 3.0432 0.0000
Ru 3.0432 0.0000 0.0000
Ru 3.0432 3.0432 3.0432
Pt 1.5216 1.5216 1.5216
Pt 1.5216 4.5648 4.5648
Pt 4.5648 1.5216 4.5648
Pt 4.5648 4.5648 1.5216
```